# 1
VASP calculation (PBE) on an optimized crystal structure of Cu3Ag7.

Space-group type = No. 166
Energy above the most stable polymorph in this dataset = 28.2 meV per atom

Cell: 22.656 22.656 22.656 Å, 7.29 7.29 7.29°
Fractional coordinates of all 10 atoms:
Ag 0.096 0.096 0.096
Ag 0.202 0.202 0.202
Ag 0.393 0.393 0.393
Ag 0.500 0.500 0.500
Ag 0.607 0.607 0.607
Ag 0.798 0.798 0.798
Ag 0.904 0.904 0.904
Cu 0.000 0.000 0.000
Cu 0.305 0.305 0.305
Cu 0.695 0.695 0.695

***

# 2
VASP calculation (PBE) on an optimized crystal structure of Cu3Ag7.

Space-group type = No. 12
Energy above the most stable polymorph in this dataset = 47.3 meV per atom

Cell: 4.913 4.913 8.993 Å, 90.51 90.51 48.57°
Fractional coordinates of all 10 atoms:
Ag 0.197 0.197 0.092
Ag 0.598 0.598 0.287
Ag 0.302 0.302 0.393
Ag 0.000 0.000 0.500
Ag 0.698 0.698 0.607
Ag 0.402 0.402 0.713
Ag 0.803 0.803 0.908
Cu 0.500 0.500 0.000
Cu 0.903 0.903 0.193
Cu 0.097 0.097 0.807

***

Which value of energy above the most stable polymorph in this dataset does entry 2 give? 47.3 meV per atom